Entry 1:
A plane-wave DFT calculation with PBE-GGA was carried out for a relaxed structure of LaPuSeO2.

Values from the calculation:
Formation energy without anion corrections (eV/atom): -2.788
Total magnetization (Bohr magnetons per cell): 5.00

```
LaPuSeO2
1.0
-1.973 1.973 6.296
1.973 -1.973 6.296
1.973 1.973 -6.296
La Pu Se O
1 1 1 2
Direct
0.000 0.000 0.000 La
0.301 0.301 0.000 Pu
0.653 0.653 0.000 Se
0.396 0.896 0.500 O
0.896 0.396 0.500 O
```


Entry 2:
A plane-wave DFT calculation with PBE-GGA was carried out for a relaxed structure of La2PuSe2O2.

Values from the calculation:
Formation energy without anion corrections (eV/atom): -2.332
Total magnetization (Bohr magnetons per cell): 5.52

```
La2PuSe2O2
1.0
-2.190 2.190 8.044
2.190 -2.190 8.044
2.190 2.190 -8.044
La Pu Se O
2 1 2 2
Direct
0.133 0.133 0.000 La
0.867 0.867 0.000 La
0.500 0.500 0.000 Pu
0.321 0.321 0.000 Se
0.679 0.679 0.000 Se
0.000 0.500 0.500 O
0.500 0.000 0.500 O
```


Entry 3:
A plane-wave DFT calculation with PBE-GGA was carried out for a relaxed structure of SrLaPu2O8.

Values from the calculation:
Formation energy without anion corrections (eV/atom): -2.847
Total magnetization (Bohr magnetons per cell): 5.00

```
SrLaPu2O8
1.0
-2.771 2.771 5.341
2.771 -2.771 5.341
2.771 2.771 -5.341
Sr La Pu O
1 1 2 8
Direct
0.000 0.000 0.000 Sr
0.250 0.750 0.500 La
0.500 0.500 0.000 Pu
0.750 0.250 0.500 Pu
0.127 0.156 0.536 O
0.127 0.592 0.972 O
0.408 0.380 0.536 O
0.408 0.873 0.028 O
0.620 0.156 0.028 O
0.620 0.592 0.464 O
0.844 0.380 0.972 O
0.844 0.873 0.464 O
```


Entry 4:
A plane-wave DFT calculation with PBE-GGA was carried out for a relaxed structure of SrLa2PuO6.

Values from the calculation:
Formation energy without anion corrections (eV/atom): -3.171
Total magnetization (Bohr magnetons per cell): 4.00

```
SrLa2PuO6
1.0
3.082 1.780 5.241
-3.082 1.780 5.241
0.000 -3.559 5.241
Sr La Pu O
1 2 1 6
Direct
0.000 0.000 0.000 Sr
0.270 0.270 0.270 La
0.777 0.777 0.777 La
0.488 0.488 0.488 Pu
0.119 0.661 0.400 O
0.203 0.591 0.860 O
0.400 0.119 0.661 O
0.591 0.860 0.203 O
0.661 0.400 0.119 O
0.860 0.203 0.591 O
```


Entry 5:
A plane-wave DFT calculation with PBE-GGA was carried out for a relaxed structure of LaTbPuO6.

Values from the calculation:
Formation energy without anion corrections (eV/atom): -3.078
Total magnetization (Bohr magnetons per cell): 4.00

```
LaTbPuO6
1.0
5.817 0.000 0.000
-2.908 5.037 0.000
0.000 0.000 9.900
La Tb Pu O
2 2 2 12
Direct
0.000 0.000 0.000 La
0.000 0.000 0.500 La
0.333 0.667 0.250 Tb
0.667 0.333 0.750 Tb
0.333 0.667 0.750 Pu
0.667 0.333 0.250 Pu
0.027 0.368 0.638 O
0.027 0.659 0.862 O
0.341 0.368 0.862 O
0.341 0.973 0.638 O
0.368 0.027 0.138 O
0.368 0.341 0.362 O
0.632 0.659 0.638 O
0.632 0.973 0.862 O
0.659 0.027 0.362 O
0.659 0.632 0.138 O
0.973 0.341 0.138 O
0.973 0.632 0.362 O
```


Entry 6:
A plane-wave DFT calculation with PBE-GGA was carried out for a relaxed structure of LaPuTe2O.

Values from the calculation:
Formation energy without anion corrections (eV/atom): -1.895
Total magnetization (Bohr magnetons per cell): 9.61

```
LaPuTe2O
1.0
4.243 0.000 0.000
0.000 4.243 0.000
0.000 0.000 16.210
La Pu Te O
2 2 4 2
Direct
0.250 0.250 0.140 La
0.750 0.750 0.860 La
0.250 0.250 0.563 Pu
0.750 0.750 0.437 Pu
0.250 0.250 0.329 Te
0.250 0.250 0.919 Te
0.750 0.750 0.081 Te
0.750 0.750 0.671 Te
0.250 0.750 0.500 O
0.750 0.250 0.500 O
```


Entry 7:
A plane-wave DFT calculation with PBE-GGA was carried out for a relaxed structure of LaPuTl2O6.

Values from the calculation:
Formation energy without anion corrections (eV/atom): -2.158
Total magnetization (Bohr magnetons per cell): 0.99

```
LaPuTl2O6
1.0
3.139 1.812 5.120
-3.139 1.812 5.120
0.000 -3.624 5.120
La Pu Tl O
1 1 2 6
Direct
0.000 0.000 0.000 La
0.500 0.500 0.500 Pu
0.250 0.250 0.250 Tl
0.750 0.750 0.750 Tl
0.257 0.728 0.286 O
0.272 0.714 0.743 O
0.286 0.257 0.728 O
0.714 0.743 0.272 O
0.728 0.286 0.257 O
0.743 0.272 0.714 O
```


Entry 8:
A plane-wave DFT calculation with PBE-GGA was carried out for a relaxed structure of LaPu3Tl4O12.

Values from the calculation:
Formation energy without anion corrections (eV/atom): -2.175
Total magnetization (Bohr magnetons per cell): 7.00

```
LaPu3Tl4O12
1.0
-4.375 4.375 4.375
4.375 -4.375 4.375
4.375 4.375 -4.375
La Pu Tl O
1 3 4 12
Direct
0.000 0.000 0.000 La
0.000 0.500 0.500 Pu
0.500 0.000 0.500 Pu
0.500 0.500 0.000 Pu
0.000 0.000 0.500 Tl
0.000 0.500 0.000 Tl
0.500 0.000 0.000 Tl
0.500 0.500 0.500 Tl
0.000 0.273 0.273 O
0.000 0.727 0.727 O
0.250 0.500 0.750 O
0.250 0.750 0.500 O
0.273 0.000 0.273 O
0.273 0.273 0.000 O
0.500 0.250 0.750 O
0.500 0.750 0.250 O
0.727 0.000 0.727 O
0.727 0.727 0.000 O
0.750 0.250 0.500 O
0.750 0.500 0.250 O
```


Entry 9:
A plane-wave DFT calculation with PBE-GGA was carried out for a relaxed structure of LaPu2UO8.

Values from the calculation:
Formation energy without anion corrections (eV/atom): -3.262
Total magnetization (Bohr magnetons per cell): 9.00

```
LaPu2UO8
1.0
3.936 0.000 0.000
0.000 5.459 0.000
0.000 0.000 7.577
La Pu U O
1 2 1 8
Direct
0.000 0.000 0.000 La
0.500 0.500 0.251 Pu
0.500 0.500 0.749 Pu
0.000 0.000 0.500 U
0.000 0.249 0.274 O
0.000 0.249 0.726 O
0.000 0.751 0.274 O
0.000 0.751 0.726 O
0.500 0.238 0.500 O
0.500 0.267 0.000 O
0.500 0.733 0.000 O
0.500 0.762 0.500 O
```


Entry 10:
A plane-wave DFT calculation with PBE-GGA was carried out for a relaxed structure of LaYPuO6.

Values from the calculation:
Formation energy without anion corrections (eV/atom): -3.078
Total magnetization (Bohr magnetons per cell): 4.00

```
LaYPuO6
1.0
5.799 0.000 0.000
-2.900 5.022 0.000
0.000 0.000 9.929
La Y Pu O
2 2 2 12
Direct
0.000 0.000 0.000 La
0.000 0.000 0.500 La
0.333 0.667 0.250 Y
0.667 0.333 0.750 Y
0.333 0.667 0.750 Pu
0.667 0.333 0.250 Pu
0.026 0.368 0.638 O
0.026 0.659 0.862 O
0.341 0.368 0.862 O
0.341 0.974 0.638 O
0.368 0.026 0.138 O
0.368 0.341 0.362 O
0.632 0.659 0.638 O
0.632 0.974 0.862 O
0.659 0.026 0.362 O
0.659 0.632 0.138 O
0.974 0.341 0.138 O
0.974 0.632 0.362 O
```


Entry 11:
A plane-wave DFT calculation with PBE-GGA was carried out for a relaxed structure of LaY2PuO8.

Values from the calculation:
Formation energy without anion corrections (eV/atom): -3.064
Total magnetization (Bohr magnetons per cell): 1.00

```
LaY2PuO8
1.0
5.129 0.000 0.000
0.000 7.182 0.000
-0.018 0.000 5.133
La Y Pu O
1 2 1 8
Direct
0.000 0.000 0.000 La
0.500 0.244 0.500 Y
0.500 0.756 0.500 Y
0.000 0.500 0.000 Pu
0.185 0.289 0.813 O
0.185 0.711 0.813 O
0.279 0.500 0.278 O
0.317 0.000 0.315 O
0.683 0.000 0.685 O
0.721 0.500 0.722 O
0.815 0.289 0.187 O
0.815 0.711 0.187 O
```


Entry 12:
A plane-wave DFT calculation with PBE-GGA was carried out for a relaxed structure of LaPuZrO6.

Values from the calculation:
Formation energy without anion corrections (eV/atom): -3.138
Total magnetization (Bohr magnetons per cell): 6.00

```
LaPuZrO6
1.0
5.679 0.000 0.000
-2.839 4.918 0.000
0.000 0.000 10.102
La Pu Zr O
2 2 2 12
Direct
0.000 0.000 0.000 La
0.000 0.000 0.500 La
0.333 0.667 0.250 Pu
0.667 0.333 0.750 Pu
0.333 0.667 0.750 Zr
0.667 0.333 0.250 Zr
0.001 0.359 0.640 O
0.001 0.642 0.860 O
0.358 0.359 0.860 O
0.358 0.999 0.640 O
0.359 0.001 0.140 O
0.359 0.358 0.360 O
0.641 0.642 0.640 O
0.641 0.999 0.860 O
0.642 0.001 0.360 O
0.642 0.641 0.140 O
0.999 0.358 0.140 O
0.999 0.641 0.360 O
```